# 1
Density functional theory data (GGA-PBEsol) for a relaxed structure of SrScW2.

Cell: 3.9436 3.9436 5.7552 Å, 110.04 110.04 90.00°
Closest atoms and distances in Å follow each position.
Sites, in units of the cell vectors:
Sc: 0.0000 0.0000 0.0000  4 Sr 2.79
Sr: 0.5000 0.5000 0.0000  4 Sc 2.79
W: 0.7500 0.2500 0.5000  4 W 2.79
W: 0.2500 0.7500 0.5000  4 W 2.79

Output
crystal system	tetragonal
ΔE_f	1047	meV/atom
magnetic moment	0.0	μB/f.u.
calculated volume	19.57	Å³ per atom
E	-7.968	eV per atom
energy relative to the lowest polymorph listed for this composition	0.373	eV per atom

=====

# 2
Density functional theory data (GGA-PBEsol) for a relaxed structure of SrYSc2W.

Cell: 5.0329 5.0329 5.4537 Å, 90.00 90.00 90.00°
Closest atoms and distances in Å follow each position.
Sites, in units of the cell vectors:
Y: 0.0000 0.0000 0.0000  4 Sc 2.52, 2 Sr 2.73
Sr: 0.0000 0.0000 0.5000  2 Y 2.73
Sc: 0.0000 0.5000 0.0000  2 Y 2.52
Sc: 0.5000 0.0000 0.0000  2 Y 2.52
W: 0.5000 0.5000 0.5000  4 Sr 3.56, 8 Sc 3.71

Output
crystal system	tetragonal
ΔE_f	1931	meV/atom
magnetic moment	3.5	μB/f.u.
calculated volume	27.63	Å³ per atom
E	-5.205	eV per atom

=====

# 3
Density functional theory data (GGA-PBEsol) for a relaxed structure of SrYSc3.

Cell: 5.2060 5.2060 5.2060 Å, 90.00 90.00 90.00°
Closest atoms and distances in Å follow each position.
Sites, in units of the cell vectors:
Y: 0.5000 0.5000 0.5000  12 Sc 3.68
Sr: 0.0000 0.0000 0.0000  6 Sc 2.60
Sc: 0.0000 0.5000 0.0000  2 Sr 2.60
Sc: 0.0000 0.0000 0.5000  2 Sr 2.60
Sc: 0.5000 0.0000 0.0000  2 Sr 2.60

Output
crystal system	cubic
ΔE_f	987	meV/atom
magnetic moment	1.1	μB/f.u.
calculated volume	28.22	Å³ per atom
E	-4.709	eV per atom

=====

# 4
Density functional theory data (GGA-PBEsol) for a relaxed structure of SrScZn2.

Cell: 3.5284 3.5284 7.1413 Å, 90.00 90.00 90.00°
Closest atoms and distances in Å follow each position.
Sites, in units of the cell vectors:
Sc: 0.5000 0.5000 0.0000  8 Zn 2.85
Sr: 0.5000 0.5000 0.5000  8 Zn 3.32, 4 Sr 3.53, 2 Sc 3.57
Zn: 0.0000 0.0000 0.8063  1 Zn 2.77, 4 Sc 2.85
Zn: 0.0000 0.0000 0.1937  1 Zn 2.77, 4 Sc 2.85

Output
crystal system	tetragonal
ΔE_f	-228	meV/atom
magnetic moment	0.0	μB/f.u.
calculated volume	22.23	Å³ per atom
E	-3.130	eV per atom

=====

# 5
Density functional theory data (GGA-PBEsol) for a relaxed structure of SrScZn4.

Cell: 5.3958 5.3958 5.3958 Å, 60.00 60.00 60.00°
Closest atoms and distances in Å follow each position.
Sites, in units of the cell vectors:
Sc: 0.7500 0.7500 0.7500  12 Zn 3.16, 4 Sr 3.30
Sr: 0.0000 0.0000 0.0000  12 Zn 3.17, 4 Sc 3.30
Zn: 0.8707 0.3764 0.3764  6 Zn 2.67-2.73
Zn: 0.3764 0.3764 0.3764  6 Zn 2.67-2.73
Zn: 0.3764 0.3764 0.8707  6 Zn 2.67-2.73
Zn: 0.3764 0.8707 0.3764  6 Zn 2.67-2.73

Output
crystal system	cubic
ΔE_f	-193	meV/atom
magnetic moment	0.0	μB/f.u.
calculated volume	18.51	Å³ per atom
E	-2.655	eV per atom

=====

# 6
Density functional theory data (GGA-PBEsol) for a relaxed structure of SrScZn3.

Cell: 5.2254 5.2254 5.2254 Å, 90.00 90.00 90.00°
Closest atoms and distances in Å follow each position.
Sites, in units of the cell vectors:
Sc: 0.5000 0.5000 0.5000  12 Zn 3.69
Sr: 0.0000 0.0000 0.0000  6 Zn 2.61
Zn: 0.0000 0.5000 0.0000  2 Sr 2.61
Zn: 0.0000 0.0000 0.5000  2 Sr 2.61
Zn: 0.5000 0.0000 0.0000  2 Sr 2.61

Output
crystal system	cubic
ΔE_f	1048	meV/atom
magnetic moment	0.0	μB/f.u.
calculated volume	28.54	Å³ per atom
E	-1.590	eV per atom
energy relative to the lowest polymorph listed for this composition	0.733	eV per atom

=====

# 7
Density functional theory data (GGA-PBEsol) for a relaxed structure of SrScZn3.

Cell: 5.1167 5.1167 5.1167 Å, 90.00 90.00 90.00°
Closest atoms and distances in Å follow each position.
Sites, in units of the cell vectors:
Sc: 0.0000 0.0000 0.0000  6 Zn 2.56
Sr: 0.5000 0.5000 0.5000  12 Zn 3.62
Zn: 0.0000 0.5000 0.0000  2 Sc 2.56
Zn: 0.0000 0.0000 0.5000  2 Sc 2.56
Zn: 0.5000 0.0000 0.0000  2 Sc 2.56

Output
crystal system	cubic
ΔE_f	315	meV/atom
magnetic moment	0.0	μB/f.u.
calculated volume	26.79	Å³ per atom
E	-2.324	eV per atom
energy relative to the lowest polymorph listed for this composition	0.000	eV per atom

=====

# 8
Density functional theory data (GGA-PBEsol) for a relaxed structure of SrZr2Sc.

Cell: 3.2814 3.2814 9.9456 Å, 90.00 90.00 89.90°
Closest atoms and distances in Å follow each position.
Sites, in units of the cell vectors:
Sc: 0.0000 0.0000 0.5439  4 Zr 3.11, 4 Sc 3.28
Sr: 0.5000 0.5000 0.2460  4 Sr 3.28
Zr: 0.0000 0.0000 0.9578  8 Zr 3.09-3.28
Zr: 0.5000 0.5000 0.7523  8 Zr 3.09-3.28, 4 Sc 3.11

Output
crystal system	orthorhombic
ΔE_f	252	meV/atom
magnetic moment	0.0	μB/f.u.
calculated volume	26.77	Å³ per atom
E	-6.404	eV per atom
energy relative to the lowest polymorph listed for this composition	0.000	eV per atom